# 1
The following is a DFT calculation (PBE) of crystalline BiB2P at its relaxed geometry.

a = 5.044 Å, b = 5.044 Å, c = 9.828 Å
α = 90.00°, β = 90.00°, γ = 90.00°
Sites, in units of the cell vectors:
Bi (0.000, 0.000, 0.000)
Bi (0.000, 0.500, 0.250)
Bi (0.500, 0.000, 0.750)
Bi (0.500, 0.500, 0.500)
B (0.181, 0.250, 0.625)
B (0.250, 0.681, 0.875)
B (0.250, 0.819, 0.375)
B (0.319, 0.250, 0.125)
B (0.681, 0.750, 0.125)
B (0.750, 0.181, 0.375)
B (0.750, 0.319, 0.875)
B (0.819, 0.750, 0.625)
P (0.000, 0.000, 0.500)
P (0.000, 0.500, 0.750)
P (0.500, 0.000, 0.250)
P (0.500, 0.500, 0.000)

Computed properties:
space-group type: I-42d, No. 122
M_tot: 0.00 Bohr magnetons per cell
total energy: -5.377 eV/atom
formation enthalpy at 0 K: 110 kJ/mol of formula units
DOS(E_F): 0.000 states/eV/f.u.
V: 15.6 A^3/atom

=====

# 2
The following is a DFT calculation (PBE) of crystalline BiBP at its relaxed geometry.

a = 8.303 Å, b = 8.303 Å, c = 3.253 Å
α = 90.00°, β = 90.00°, γ = 90.00°
Sites, in units of the cell vectors:
Bi (0.008, 0.265, 0.000)
Bi (0.265, 0.992, 0.500)
Bi (0.735, 0.008, 0.500)
Bi (0.992, 0.735, 0.000)
B (0.278, 0.418, 0.000)
B (0.418, 0.722, 0.500)
B (0.582, 0.278, 0.500)
B (0.722, 0.582, 0.000)
P (0.261, 0.546, 0.500)
P (0.454, 0.261, 0.000)
P (0.546, 0.739, 0.000)
P (0.739, 0.454, 0.500)

Computed properties:
space-group type: P4_2/m, No. 84
M_tot: 0.00 Bohr magnetons per cell
total energy: -5.131 eV/atom
formation enthalpy at 0 K: 55 kJ/mol of formula units
DOS(E_F): 1.101 states/eV/f.u.
V: 18.7 A^3/atom

=====

# 3
The following is a DFT calculation (PBE) of crystalline Bi2BP at its relaxed geometry.

a = 6.956 Å, b = 6.956 Å, c = 6.956 Å
α = 90.00°, β = 90.00°, γ = 90.00°
Sites, in units of the cell vectors:
Bi (0.250, 0.250, 0.250)
Bi (0.250, 0.250, 0.750)
Bi (0.250, 0.750, 0.250)
Bi (0.250, 0.750, 0.750)
Bi (0.750, 0.250, 0.250)
Bi (0.750, 0.250, 0.750)
Bi (0.750, 0.750, 0.250)
Bi (0.750, 0.750, 0.750)
B (0.000, 0.000, 0.000)
B (0.000, 0.500, 0.500)
B (0.500, 0.000, 0.500)
B (0.500, 0.500, 0.000)
P (0.000, 0.000, 0.500)
P (0.000, 0.500, 0.000)
P (0.500, 0.000, 0.000)
P (0.500, 0.500, 0.500)

Computed properties:
space-group type: Fm-3m, No. 225
M_tot: 0.00 Bohr magnetons per cell
total energy: -3.901 eV/atom
formation enthalpy at 0 K: 410 kJ/mol of formula units
DOS(E_F): 2.698 states/eV/f.u.
V: 21.0 A^3/atom

=====

# 4
The following is a DFT calculation (PBE) of crystalline BiBP3 at its relaxed geometry.

a = 4.337 Å, b = 4.337 Å, c = 4.337 Å
α = 90.00°, β = 90.00°, γ = 90.00°
Sites, in units of the cell vectors:
Bi (0.000, 0.000, 0.000)
B (0.500, 0.500, 0.500)
P (0.000, 0.500, 0.500)
P (0.500, 0.000, 0.500)
P (0.500, 0.500, 0.000)

Computed properties:
space-group type: Pm-3m, No. 221
M_tot: 0.00 Bohr magnetons per cell
total energy: -4.600 eV/atom
formation enthalpy at 0 K: 365 kJ/mol of formula units
DOS(E_F): 2.863 states/eV/f.u.
V: 16.3 A^3/atom

=====

# 5
The following is a DFT calculation (PBE) of crystalline BiBP2Rh at its relaxed geometry.

a = 4.857 Å, b = 4.857 Å, c = 3.942 Å
α = 90.00°, β = 90.00°, γ = 90.00°
Sites, in units of the cell vectors:
Bi (0.000, 0.000, 0.000)
B (0.500, 0.500, 0.000)
P (0.000, 0.500, 0.500)
P (0.500, 0.000, 0.500)
Rh (0.500, 0.500, 0.500)

Computed properties:
space-group type: P4/mmm, No. 123
M_tot: 0.00 Bohr magnetons per cell
total energy: -5.175 eV/atom
formation enthalpy at 0 K: 275 kJ/mol of formula units
DOS(E_F): 3.536 states/eV/f.u.
V: 18.6 A^3/atom

=====

# 6
The following is a DFT calculation (PBE) of crystalline BiB2PSe at its relaxed geometry.

a = 4.671 Å, b = 4.671 Å, c = 5.475 Å
α = 90.00°, β = 90.00°, γ = 90.00°
Sites, in units of the cell vectors:
Bi (0.000, 0.000, 0.000)
B (0.000, 0.500, 0.000)
B (0.500, 0.000, 0.000)
P (0.000, 0.000, 0.500)
Se (0.500, 0.500, 0.500)

Computed properties:
energy relative to the elements, uncorrected: 2075 meV per atom
space-group type: P4/mmm, No. 123
M_tot: 0.00 Bohr magnetons per cell
total energy: -3.151 eV/atom
DOS(E_F): 2.632 states/eV/f.u.
V: 23.9 A^3/atom

=====

# 7
The following is a DFT calculation (PBE) of crystalline TiBi2BP at its relaxed geometry.

a = 5.410 Å, b = 5.410 Å, c = 4.594 Å
α = 90.00°, β = 90.00°, γ = 90.00°
Sites, in units of the cell vectors:
Ti (0.000, 0.000, 0.000)
Bi (0.000, 0.500, 0.000)
Bi (0.500, 0.000, 0.000)
B (0.500, 0.500, 0.500)
P (0.000, 0.000, 0.500)

Computed properties:
space-group type: P4/mmm, No. 123
M_tot: 0.00 Bohr magnetons per cell
total energy: -4.492 eV/atom
formation enthalpy at 0 K: 510 kJ/mol of formula units
DOS(E_F): 4.458 states/eV/f.u.
V: 26.9 A^3/atom

=====

# 8
The following is a DFT calculation (PBE) of crystalline YBiBP2 at its relaxed geometry.

a = 5.200 Å, b = 5.200 Å, c = 5.975 Å
α = 90.00°, β = 90.00°, γ = 90.00°
Sites, in units of the cell vectors:
Y (0.000, 0.000, 0.000)
Bi (0.000, 0.000, 0.500)
B (0.500, 0.500, 0.500)
P (0.000, 0.500, 0.000)
P (0.500, 0.000, 0.000)

Computed properties:
space-group type: P4/mmm, No. 123
M_tot: 0.00 Bohr magnetons per cell
total energy: -4.125 eV/atom
formation enthalpy at 0 K: 696 kJ/mol of formula units
DOS(E_F): 4.521 states/eV/f.u.
V: 32.3 A^3/atom

=====

# 9
The following is a DFT calculation (PBE) of crystalline Pa2BiB at its relaxed geometry.

a = 3.910 Å, b = 3.910 Å, c = 21.827 Å
α = 90.00°, β = 90.00°, γ = 120.00°
Sites, in units of the cell vectors:
Pa (0.000, 0.000, 0.228)
Pa (0.000, 0.000, 0.772)
Pa (0.333, 0.667, 0.439)
Pa (0.333, 0.667, 0.895)
Pa (0.667, 0.333, 0.105)
Pa (0.667, 0.333, 0.561)
Bi (0.000, 0.000, 0.000)
Bi (0.333, 0.667, 0.667)
Bi (0.667, 0.333, 0.333)
B (0.000, 0.000, 0.500)
B (0.333, 0.667, 0.167)
B (0.667, 0.333, 0.833)

Computed properties:
space-group type: R-3m, No. 166
M_tot: 0.00 Bohr magnetons per cell
total energy: -7.538 eV/atom
formation enthalpy at 0 K: -58 kJ/mol of formula units
DOS(E_F): 2.259 states/eV/f.u.
V: 24.1 A^3/atom

=====

# 10
The following is a DFT calculation (PBE) of crystalline PaBiB at its relaxed geometry.

a = 4.813 Å, b = 4.717 Å, c = 12.216 Å
α = 90.00°, β = 96.47°, γ = 90.00°
Sites, in units of the cell vectors:
Pa (0.152, 0.000, 0.134)
Pa (0.348, 0.500, 0.866)
Pa (0.652, 0.500, 0.134)
Pa (0.848, 0.000, 0.866)
Bi (0.205, 0.500, 0.348)
Bi (0.295, 0.000, 0.652)
Bi (0.705, 0.000, 0.348)
Bi (0.795, 0.500, 0.652)
B (0.132, 0.500, 0.048)
B (0.368, 0.000, 0.952)
B (0.632, 0.000, 0.048)
B (0.868, 0.500, 0.952)

Computed properties:
space-group type: C2/m, No. 12
M_tot: 0.00 Bohr magnetons per cell
total energy: -6.772 eV/atom
formation enthalpy at 0 K: -25 kJ/mol of formula units
DOS(E_F): 1.767 states/eV/f.u.
V: 23.0 A^3/atom

=====

# 11
The following is a DFT calculation (PBE) of crystalline BiB2Pb at its relaxed geometry.

a = 6.729 Å, b = 6.729 Å, c = 6.729 Å
α = 90.00°, β = 90.00°, γ = 90.00°
Sites, in units of the cell vectors:
Bi (0.000, 0.000, 0.000)
Bi (0.000, 0.500, 0.500)
Bi (0.500, 0.000, 0.500)
Bi (0.500, 0.500, 0.000)
B (0.250, 0.250, 0.250)
B (0.250, 0.250, 0.750)
B (0.250, 0.750, 0.250)
B (0.250, 0.750, 0.750)
B (0.750, 0.250, 0.250)
B (0.750, 0.250, 0.750)
B (0.750, 0.750, 0.250)
B (0.750, 0.750, 0.750)
Pb (0.000, 0.000, 0.500)
Pb (0.000, 0.500, 0.000)
Pb (0.500, 0.000, 0.000)
Pb (0.500, 0.500, 0.500)

Computed properties:
space-group type: Fm-3m, No. 225
M_tot: 0.00 Bohr magnetons per cell
total energy: -3.644 eV/atom
formation enthalpy at 0 K: 615 kJ/mol of formula units
DOS(E_F): 2.332 states/eV/f.u.
V: 19.0 A^3/atom

=====

# 12
The following is a DFT calculation (PBE) of crystalline BiBPb3 at its relaxed geometry.

a = 5.160 Å, b = 5.160 Å, c = 5.160 Å
α = 90.00°, β = 90.00°, γ = 90.00°
Sites, in units of the cell vectors:
Bi (0.000, 0.000, 0.000)
B (0.500, 0.500, 0.500)
Pb (0.000, 0.500, 0.500)
Pb (0.500, 0.000, 0.500)
Pb (0.500, 0.500, 0.000)

Computed properties:
space-group type: Pm-3m, No. 221
M_tot: 0.00 Bohr magnetons per cell
total energy: -3.809 eV/atom
formation enthalpy at 0 K: 255 kJ/mol of formula units
DOS(E_F): 2.418 states/eV/f.u.
V: 27.5 A^3/atom

=====

# 13
The following is a DFT calculation (PBE) of crystalline BiB2Pb at its relaxed geometry.

a = 5.534 Å, b = 5.534 Å, c = 11.006 Å
α = 90.00°, β = 90.00°, γ = 90.00°
Sites, in units of the cell vectors:
Bi (0.000, 0.000, 0.000)
Bi (0.000, 0.500, 0.250)
Bi (0.500, 0.000, 0.750)
Bi (0.500, 0.500, 0.500)
B (0.249, 0.250, 0.625)
B (0.250, 0.749, 0.875)
B (0.250, 0.751, 0.375)
B (0.251, 0.250, 0.125)
B (0.749, 0.750, 0.125)
B (0.750, 0.249, 0.375)
B (0.750, 0.251, 0.875)
B (0.751, 0.750, 0.625)
Pb (0.000, 0.000, 0.500)
Pb (0.000, 0.500, 0.750)
Pb (0.500, 0.000, 0.250)
Pb (0.500, 0.500, 0.000)

Computed properties:
space-group type: I-42d, No. 122
M_tot: 0.00 Bohr magnetons per cell
total energy: -4.262 eV/atom
formation enthalpy at 0 K: 376 kJ/mol of formula units
DOS(E_F): 2.110 states/eV/f.u.
V: 21.1 A^3/atom

=====

# 14
The following is a DFT calculation (PBE) of crystalline BiBPb3 at its relaxed geometry.

a = 6.064 Å, b = 6.064 Å, c = 6.064 Å
α = 90.00°, β = 90.00°, γ = 90.00°
Sites, in units of the cell vectors:
Bi (0.000, 0.000, 0.000)
B (0.500, 0.500, 0.500)
Pb (0.000, 0.000, 0.500)
Pb (0.000, 0.500, 0.000)
Pb (0.500, 0.000, 0.000)

Computed properties:
space-group type: Pm-3m, No. 221
M_tot: 0.00 Bohr magnetons per cell
total energy: -2.739 eV/atom
formation enthalpy at 0 K: 771 kJ/mol of formula units
DOS(E_F): 7.312 states/eV/f.u.
V: 44.6 A^3/atom

=====

# 15
The following is a DFT calculation (PBE) of crystalline BiBTePb2 at its relaxed geometry.

a = 6.034 Å, b = 6.034 Å, c = 6.027 Å
α = 90.00°, β = 90.00°, γ = 90.00°
Sites, in units of the cell vectors:
Bi (0.000, 0.000, 0.000)
B (0.500, 0.500, 0.500)
Te (0.000, 0.000, 0.500)
Pb (0.000, 0.500, 0.000)
Pb (0.500, 0.000, 0.000)

Computed properties:
energy relative to the elements, uncorrected: 1505 meV per atom
space-group type: P4/mmm, No. 123
M_tot: 0.00 Bohr magnetons per cell
total energy: -2.718 eV/atom
DOS(E_F): 3.911 states/eV/f.u.
V: 43.9 A^3/atom

=====

# 16
The following is a DFT calculation (PBE) of crystalline VBi2BPb at its relaxed geometry.

a = 5.226 Å, b = 5.226 Å, c = 5.304 Å
α = 90.00°, β = 90.00°, γ = 90.00°
Sites, in units of the cell vectors:
V (0.000, 0.000, 0.000)
Bi (0.000, 0.500, 0.000)
Bi (0.500, 0.000, 0.000)
B (0.500, 0.500, 0.500)
Pb (0.000, 0.000, 0.500)

Computed properties:
space-group type: P4/mmm, No. 123
M_tot: 0.00 Bohr magnetons per cell
total energy: -4.217 eV/atom
formation enthalpy at 0 K: 596 kJ/mol of formula units
DOS(E_F): 4.628 states/eV/f.u.
V: 29.0 A^3/atom

=====

# 17
The following is a DFT calculation (PBE) of crystalline YBiB2Pb at its relaxed geometry.

a = 4.771 Å, b = 4.771 Å, c = 6.015 Å
α = 90.00°, β = 90.00°, γ = 90.00°
Sites, in units of the cell vectors:
Y (0.000, 0.000, 0.000)
Bi (0.000, 0.000, 0.500)
B (0.000, 0.500, 0.500)
B (0.500, 0.000, 0.500)
Pb (0.500, 0.500, 0.000)

Computed properties:
space-group type: P4/mmm, No. 123
M_tot: 0.00 Bohr magnetons per cell
total energy: -4.013 eV/atom
formation enthalpy at 0 K: 709 kJ/mol of formula units
DOS(E_F): 3.125 states/eV/f.u.
V: 27.4 A^3/atom

=====

# 18
The following is a DFT calculation (PBE) of crystalline Bi2BPd8 at its relaxed geometry.

a = 7.845 Å, b = 7.845 Å, c = 4.935 Å
α = 101.16°, β = 101.16°, γ = 134.28°
Sites, in units of the cell vectors:
Bi (0.171, 0.829, 0.000)
Bi (0.829, 0.171, 0.000)
B (0.498, 0.498, 0.995)
Pd (0.157, 0.361, 0.702)
Pd (0.272, 0.272, 0.213)
Pd (0.279, 0.720, 0.501)
Pd (0.361, 0.157, 0.702)
Pd (0.630, 0.836, 0.288)
Pd (0.720, 0.279, 0.501)
Pd (0.726, 0.726, 0.782)
Pd (0.836, 0.630, 0.288)

Computed properties:
space-group type: Cm, No. 8
M_tot: 0.00 Bohr magnetons per cell
total energy: -5.309 eV/atom
formation enthalpy at 0 K: -233 kJ/mol of formula units
DOS(E_F): 4.305 states/eV/f.u.
V: 17.1 A^3/atom

=====

# 19
The following is a DFT calculation (PBE) of crystalline Bi2BPd8 at its relaxed geometry.

a = 7.714 Å, b = 7.714 Å, c = 4.876 Å
α = 105.59°, β = 105.59°, γ = 42.46°
Sites, in units of the cell vectors:
Bi (0.167, 0.167, 0.483)
Bi (0.833, 0.833, 0.517)
B (0.000, 0.000, 0.000)
Pd (0.195, 0.688, 0.202)
Pd (0.260, 0.260, 0.063)
Pd (0.312, 0.805, 0.798)
Pd (0.377, 0.377, 0.660)
Pd (0.623, 0.623, 0.340)
Pd (0.688, 0.195, 0.202)
Pd (0.740, 0.740, 0.937)
Pd (0.805, 0.312, 0.798)

Computed properties:
space-group type: C2/m, No. 12
M_tot: 0.00 Bohr magnetons per cell
total energy: -5.228 eV/atom
formation enthalpy at 0 K: -147 kJ/mol of formula units
DOS(E_F): 5.166 states/eV/f.u.
V: 17.0 A^3/atom

=====

# 20
The following is a DFT calculation (PBE) of crystalline BiBPd4 at its relaxed geometry.

a = 7.674 Å, b = 7.674 Å, c = 6.019 Å
α = 90.00°, β = 90.00°, γ = 146.26°
Sites, in units of the cell vectors:
Bi (0.111, 0.889, 0.750)
Bi (0.889, 0.111, 0.250)
B (0.395, 0.605, 0.750)
B (0.605, 0.395, 0.250)
Pd (0.116, 0.884, 0.250)
Pd (0.304, 0.696, 0.003)
Pd (0.304, 0.696, 0.497)
Pd (0.500, 0.500, 0.000)
Pd (0.500, 0.500, 0.500)
Pd (0.696, 0.304, 0.503)
Pd (0.696, 0.304, 0.997)
Pd (0.884, 0.116, 0.750)

Computed properties:
space-group type: Cmcm, No. 63
M_tot: 0.00 Bohr magnetons per cell
total energy: -5.427 eV/atom
formation enthalpy at 0 K: -119 kJ/mol of formula units
DOS(E_F): 3.656 states/eV/f.u.
V: 16.4 A^3/atom